BaZn2Si: relaxed, PBE.

Summary:
electronic total energy = -18.9 eV/cell
energy relative to the elements, uncorrected = 0.1157 eV/atom
D(E_F) = 0.301 states/eV/atom
total magnetization = 0.000 μB/atom

a = 5.154 Å, b = 5.154 Å, c = 7.274 Å
α = 90.00°, β = 90.00°, γ = 90.00°
Space group I-4m2 (No. 119)
Symmetry-distinct sites (fractional):
1 Ba 0.000 0.000 0.000 x2
2 Zn 0.000 0.000 0.500 x2
3 Zn 0.000 0.500 0.750 x2
4 Si 0.000 0.500 0.250 x2